(1)
A plane-wave DFT calculation with PBE was carried out for crystalline ReTcOs at its relaxed geometry.

abc: 4.843 4.843 4.843
angles: 140.96 140.96 56.40
Positions (direct):
Re 0.333 0.333 0.000
Os 0.998 0.998 0.000
Tc 0.670 0.670 0.000

Output
- energy of formation from the pure elements (kJ per mole of atoms) = 40.9
- DFT total energy (eV/atom) = -10.9245

=====

(2)
A plane-wave DFT calculation with PBE was carried out for crystalline ReTc2Os at its relaxed geometry.

abc: 4.193 4.193 4.996
angles: 65.19 65.19 60.00
Positions (direct):
Re 0.673 0.673 0.980
Tc 0.076 0.076 0.773
Tc 0.271 0.271 0.186
Os 0.480 0.480 0.561

Output
- energy of formation from the pure elements (kJ per mole of atoms) = 46.8
- DFT total energy (eV/atom) = -10.6176

=====

(3)
A plane-wave DFT calculation with PBE was carried out for crystalline Re2TcOs at its relaxed geometry.

abc: 2.750 3.886 5.520
angles: 90.00 90.00 90.00
Positions (direct):
Os 0.500 0.500 0.750
Tc 0.000 0.000 0.502
Re 0.000 0.000 0.996
Re 0.500 0.500 0.253

Output
- energy of formation from the pure elements (kJ per mole of atoms) = 6.7
- DFT total energy (eV/atom) = -11.5537

=====

What is the energy of formation from the pure elements in the first record?
40.9 kJ per mole of atoms

=====

Which of these has the lowest DFT total energy?
Re2TcOs

=====

Please write out number 1 again, unchanged.
A plane-wave DFT calculation with PBE was carried out for crystalline ReTcOs at its relaxed geometry.

abc: 4.843 4.843 4.843
angles: 140.96 140.96 56.40
Positions (direct):
Re 0.333 0.333 0.000
Os 0.998 0.998 0.000
Tc 0.670 0.670 0.000

Output
- energy of formation from the pure elements (kJ per mole of atoms) = 40.9
- DFT total energy (eV/atom) = -10.9245

=====

Which of these has the highest DFT total energy?
ReTc2Os